Computed, not measured: crystalline VOsO2F at its relaxed geometry at the PBE+U level of DFT.

Summary:
For the calculated total energy, the calculation gives -6.243 eV/atom.

Lattice parameters (Å, degrees): 3.8376 3.8376 3.9956 90.00 90.00 90.00
With the nearest neighbours (Å) after each atom.
Atoms (fractional coordinates):
Os: 0.5000 0.5000 0.5000  4 F 2.71, 8 O 2.77
V: 0.0000 0.0000 0.0000  4 O 1.92, 2 F 2.00
O: 0.5000 0.0000 0.0000  2 V 1.92
O: 0.0000 0.5000 0.0000  2 V 1.92
F: 0.0000 0.0000 0.5000  2 V 2.00